DFT (PBE-GGA) results for a relaxed CdAg2P crystal.

Results
Its symmetry is No. 123. As for the formation energy: 0.85 eV per formula unit. The magnetization is 0.00 μB/atom. The calculation puts the calculated total energy at -11.17 eV for the cell shown. The value obtained for the energy above the most stable polymorph in this dataset is 60 meV per atom.

a = 3.061 Å, b = 3.061 Å, c = 7.798 Å
α = 90.00°, β = 90.00°, γ = 89.92°
Sites, in units of the cell vectors:
1 Ag 0.000 0.000 0.980
2 Ag 0.000 0.000 0.520
3 Cd 0.500 0.500 0.250
4 P 0.500 0.500 0.750